1.
MgZn2Cu4: optimized geometry, PBE.

Values from the calculation:
Energy relative to the lowest polymorph listed for this composition = 13 meV/atom
E_form = -0.06 eV/atom

Geometry as CIF:
```
data_MgZn2Cu4
_cell_length_a 7.312
_cell_length_b 7.312
_cell_length_c 7.781
_cell_angle_alpha 90.00
_cell_angle_beta 90.00
_cell_angle_gamma 90.00
_space_group_name_H-M_alt 'I 4/m c m'
_space_group_IT_number 140
_space_group_name_Hall '-I 4 2c'
loop_
_atom_site_label
_atom_site_type_symbol
_atom_site_fract_x
_atom_site_fract_y
_atom_site_fract_z
_atom_site_occupancy
Mg1 Mg 0.000 0.000 0.250 1
Zn1 Zn 0.152 0.348 0.000 1
Cu1 Cu 0.147 0.353 0.332 1
```

***

2.
MgZnCu2: optimized geometry, PBE.

Values from the calculation:
E_form = 0.02 eV/atom

Geometry as CIF:
```
data_MgZnCu2
_cell_length_a 2.7695
_cell_length_b 2.7695
_cell_length_c 26.0571
_cell_angle_alpha 90.00
_cell_angle_beta 90.00
_cell_angle_gamma 120.00
_space_group_name_H-M_alt 'R -3 m'
_space_group_IT_number 166
_space_group_name_Hall '-R 3 2"'
loop_
_atom_site_label
_atom_site_type_symbol
_atom_site_fract_x
_atom_site_fract_y
_atom_site_fract_z
_atom_site_occupancy
Mg1 Mg 0.0000 0.0000 0.0000 1
Zn1 Zn 0.0000 0.0000 0.5000 1
Cu1 Cu 0.0000 0.0000 0.2471 1
```

***

3.
MgZnCu2: optimized geometry, PBE.

Values from the calculation:
E_form = 0.18 eV/atom

Geometry as CIF:
```
data_MgZnCu2
_cell_length_a 6.953
_cell_length_b 6.953
_cell_length_c 5.234
_cell_angle_alpha 90.00
_cell_angle_beta 90.00
_cell_angle_gamma 90.00
_space_group_name_H-M_alt 'I -4 2 d'
_space_group_IT_number 122
_space_group_name_Hall 'I -4 2bw'
loop_
_atom_site_label
_atom_site_type_symbol
_atom_site_fract_x
_atom_site_fract_y
_atom_site_fract_z
_atom_site_occupancy
Mg1 Mg 0.000 0.000 0.000 1
Zn1 Zn 0.000 0.000 0.500 1
Cu1 Cu 0.227 0.750 0.625 1
```

***

4.
Mg2Zn3Cu: optimized geometry, PBE.

Values from the calculation:
Energy relative to the lowest polymorph listed for this composition = 0 meV/atom
E_form = -0.17 eV/atom

Geometry as CIF:
```
data_Mg2Zn3Cu
_cell_length_a 5.1401
_cell_length_b 5.1401
_cell_length_c 12.5795
_cell_angle_alpha 90.00
_cell_angle_beta 90.00
_cell_angle_gamma 120.00
_space_group_name_H-M_alt 'R -3 m'
_space_group_IT_number 166
_space_group_name_Hall '-R 3 2"'
loop_
_atom_site_label
_atom_site_type_symbol
_atom_site_fract_x
_atom_site_fract_y
_atom_site_fract_z
_atom_site_occupancy
Mg1 Mg 0.0000 0.0000 0.1266 1
Zn1 Zn 0.0000 0.5000 0.0000 1
Cu1 Cu 0.0000 0.0000 0.5000 1
```

***

5.
MgZn2Cu2: optimized geometry, PBE.

Values from the calculation:
Energy relative to the lowest polymorph listed for this composition = 92 meV/atom
E_form = 0.00 eV/atom

Geometry as CIF:
```
data_MgZn2Cu2
_cell_length_a 3.609
_cell_length_b 3.609
_cell_length_c 24.090
_cell_angle_alpha 90.00
_cell_angle_beta 90.00
_cell_angle_gamma 90.00
_space_group_name_H-M_alt 'I 4/m m m'
_space_group_IT_number 139
_space_group_name_Hall '-I 4 2'
loop_
_atom_site_label
_atom_site_type_symbol
_atom_site_fract_x
_atom_site_fract_y
_atom_site_fract_z
_atom_site_occupancy
Mg1 Mg 0.000 0.000 0.130 1
Zn1 Zn 0.000 0.000 0.427 1
Zn2 Zn 0.000 0.500 0.250 1
Cu1 Cu 0.000 0.000 0.326 1
Cu2 Cu 0.000 0.500 0.000 1
```

***

6.
Mg2ZnCu2: optimized geometry, PBE.

Values from the calculation:
E_form = 0.06 eV/atom

Geometry as CIF:
```
data_Mg2ZnCu2
_cell_length_a 5.308
_cell_length_b 12.617
_cell_length_c 4.952
_cell_angle_alpha 90.00
_cell_angle_beta 90.00
_cell_angle_gamma 90.00
_space_group_name_H-M_alt 'I b a m'
_space_group_IT_number 72
_space_group_name_Hall '-I 2 2c'
loop_
_atom_site_label
_atom_site_type_symbol
_atom_site_fract_x
_atom_site_fract_y
_atom_site_fract_z
_atom_site_occupancy
Mg1 Mg 0.138 0.124 0.000 1
Zn1 Zn 0.000 0.500 0.250 1
Cu1 Cu 0.134 0.330 0.000 1
```

***

7.
Mg2ZnCu3: optimized geometry, PBE.

Values from the calculation:
Energy relative to the lowest polymorph listed for this composition = 118 meV/atom
E_form = -0.07 eV/atom

Geometry as CIF:
```
data_Mg2ZnCu3
_cell_length_a 4.3867
_cell_length_b 4.3867
_cell_length_c 10.6614
_cell_angle_alpha 90.00
_cell_angle_beta 90.00
_cell_angle_gamma 120.00
_space_group_name_H-M_alt 'P 63/m m c'
_space_group_IT_number 194
_space_group_name_Hall '-P 6c 2c'
loop_
_atom_site_label
_atom_site_type_symbol
_atom_site_fract_x
_atom_site_fract_y
_atom_site_fract_z
_atom_site_occupancy
Mg1 Mg 0.3333 0.6667 0.1042 1
Zn1 Zn 0.0000 0.0000 0.2500 1
Cu1 Cu 0.0000 0.0000 0.0000 1
Cu2 Cu 0.3333 0.6667 0.6394 1
```

***

8.
Mg2Zn2Cu: optimized geometry, PBE.

Values from the calculation:
Energy relative to the lowest polymorph listed for this composition = 82 meV/atom
E_form = -0.03 eV/atom

Geometry as CIF:
```
data_Mg2Zn2Cu
_cell_length_a 6.375
_cell_length_b 6.375
_cell_length_c 4.323
_cell_angle_alpha 90.00
_cell_angle_beta 90.00
_cell_angle_gamma 90.00
_space_group_name_H-M_alt 'P 4/m b m'
_space_group_IT_number 127
_space_group_name_Hall '-P 4 2ab'
loop_
_atom_site_label
_atom_site_type_symbol
_atom_site_fract_x
_atom_site_fract_y
_atom_site_fract_z
_atom_site_occupancy
Mg1 Mg 0.172 0.328 0.000 1
Zn1 Zn 0.139 0.639 0.500 1
Cu1 Cu 0.000 0.000 0.500 1
```

***

9.
MgZnCu: optimized geometry, PBE.

Values from the calculation:
E_form = -0.10 eV/atom

Geometry as CIF:
```
data_MgZnCu
_cell_length_a 4.3230
_cell_length_b 4.3230
_cell_length_c 2.9076
_cell_angle_alpha 90.00
_cell_angle_beta 90.00
_cell_angle_gamma 120.00
_space_group_name_H-M_alt 'P -6 m 2'
_space_group_IT_number 187
_space_group_name_Hall 'P -6 2'
loop_
_atom_site_label
_atom_site_type_symbol
_atom_site_fract_x
_atom_site_fract_y
_atom_site_fract_z
_atom_site_occupancy
Mg1 Mg 0.0000 0.0000 0.0000 1
Zn1 Zn 0.3333 0.6667 0.5000 1
Cu1 Cu 0.6667 0.3333 0.5000 1
```

***

10.
Mg2Zn9Cu: optimized geometry, PBE.

Values from the calculation:
E_form = 0.02 eV/atom

Geometry as CIF:
```
data_Mg2Zn9Cu
_cell_length_a 5.0645
_cell_length_b 5.0645
_cell_length_c 26.4251
_cell_angle_alpha 90.00
_cell_angle_beta 90.00
_cell_angle_gamma 120.00
_space_group_name_H-M_alt 'R -3 m'
_space_group_IT_number 166
_space_group_name_Hall '-R 3 2"'
loop_
_atom_site_label
_atom_site_type_symbol
_atom_site_fract_x
_atom_site_fract_y
_atom_site_fract_z
_atom_site_occupancy
Mg1 Mg 0.0000 0.0000 0.1425 1
Zn1 Zn 0.0000 0.0000 0.3337 1
Zn2 Zn 0.0000 0.0000 0.5000 1
Zn3 Zn 0.0028 0.5014 0.9163 1
Cu1 Cu 0.0000 0.0000 0.0000 1
```

***

11.
MgZn3Cu2: optimized geometry, PBE.

Values from the calculation:
Energy relative to the lowest polymorph listed for this composition = 65 meV/atom
E_form = 0.00 eV/atom

Geometry as CIF:
```
data_MgZn3Cu2
_cell_length_a 6.202
_cell_length_b 12.624
_cell_length_c 4.791
_cell_angle_alpha 90.00
_cell_angle_beta 90.00
_cell_angle_gamma 90.00
_space_group_name_H-M_alt 'C m c m'
_space_group_IT_number 63
_space_group_name_Hall '-C 2c 2'
loop_
_atom_site_label
_atom_site_type_symbol
_atom_site_fract_x
_atom_site_fract_y
_atom_site_fract_z
_atom_site_occupancy
Mg1 Mg 0.000 0.121 0.250 1
Zn1 Zn 0.000 0.343 0.750 1
Zn2 Zn 0.241 0.323 0.250 1
Cu1 Cu 0.200 0.500 0.000 1
```

***

12.
Mg2Zn2Cu: optimized geometry, PBE.

Values from the calculation:
Energy relative to the lowest polymorph listed for this composition = 129 meV/atom
E_form = 0.01 eV/atom

Geometry as CIF:
```
data_Mg2Zn2Cu
_cell_length_a 5.358
_cell_length_b 2.854
_cell_length_c 11.622
_cell_angle_alpha 90.00
_cell_angle_beta 99.81
_cell_angle_gamma 90.00
_space_group_name_H-M_alt 'P 1 21/m 1'
_space_group_IT_number 11
loop_
_space_group_symop_operation_xyz
'x,y,z'
'-x,-y,-z'
'-x,y+1/2,-z'
'x,-y+1/2,z'
loop_
_atom_site_label
_atom_site_type_symbol
_atom_site_fract_x
_atom_site_fract_y
_atom_site_fract_z
_atom_site_occupancy
Mg1 Mg 0.119 0.250 0.340 1
Mg2 Mg 0.183 0.750 0.923 1
Zn1 Zn 0.337 0.750 0.553 1
Zn2 Zn 0.340 0.250 0.137 1
Cu1 Cu 0.328 0.250 0.735 1
```